[1]
The following is a PBE calculation of an optimized crystal structure of CuRh2Se, from the Alexandria database.

a b c (Å): 4.4649 2.9117 4.8584
angles (deg): 72.66 90.00 90.00
Element x y z (fractional)
1 Cu 0.5000 0.6822 0.7557
2 Rh 0.0000 0.0632 0.9975
3 Rh 0.5000 0.4173 0.2835
4 Se 0.0000 0.3373 0.4634

Computed properties:
D(E_F): 4.2 states/eV/cell
formation energy (no corrections): 0.10 eV per atom
symmetry: Pm, No. 6
total magnetic moment: 0.0 μB/f.u.

---

[2]
The following is a PBE calculation of an optimized crystal structure of CuRh2Se, from the Alexandria database.

a b c (Å): 2.7969 2.7969 8.9248
angles (deg): 90.00 90.00 119.79
Element x y z (fractional)
1 Cu 0.5000 0.5000 0.7565
2 Rh 0.0000 0.0000 0.9962
3 Rh 0.5000 0.5000 0.2494
4 Se 0.0000 0.0000 0.4978

Computed properties:
D(E_F): 5.2 states/eV/cell
formation energy (no corrections): 0.33 eV per atom
symmetry: Cmm2, No. 35
total magnetic moment: 0.0 μB/f.u.

---

[3]
The following is a PBE calculation of an optimized crystal structure of Cu4RhSe, from the Alexandria database.

a b c (Å): 4.8730 4.8730 4.8730
angles (deg): 60.00 60.00 60.00
Element x y z (fractional)
1 Cu 0.6244 0.6244 0.1268
2 Cu 0.6244 0.1268 0.6244
3 Cu 0.6244 0.6244 0.6244
4 Cu 0.1268 0.6244 0.6244
5 Rh 0.2500 0.2500 0.2500
6 Se 0.0000 0.0000 0.0000

Computed properties:
D(E_F): 4.4 states/eV/cell
formation energy (no corrections): 0.20 eV per atom
symmetry: F-43m, No. 216
total magnetic moment: 0.0 μB/f.u.

---

[4]
The following is a PBE calculation of an optimized crystal structure of CuRhSe4, from the Alexandria database.

a b c (Å): 5.5410 5.5410 5.5410
angles (deg): 60.00 60.00 60.00
Element x y z (fractional)
1 Cu 0.7500 0.7500 0.7500
2 Rh 0.0000 0.0000 0.0000
3 Se 0.8760 0.3747 0.3747
4 Se 0.3747 0.3747 0.8760
5 Se 0.3747 0.8760 0.3747
6 Se 0.3747 0.3747 0.3747

Computed properties:
D(E_F): 8.2 states/eV/cell
formation energy (no corrections): 0.95 eV per atom
symmetry: F-43m, No. 216
total magnetic moment: 0.5 μB/f.u.

---

[5]
The following is a PBE calculation of an optimized crystal structure of CuRh2Se, from the Alexandria database.

a b c (Å): 4.3127 4.3127 4.8803
angles (deg): 78.60 78.60 41.45
Element x y z (fractional)
1 Cu 0.7500 0.7500 0.7500
2 Rh 0.9991 0.9991 0.0028
3 Rh 0.5009 0.5009 0.4972
4 Se 0.2500 0.2500 0.2500

Computed properties:
D(E_F): 3.4 states/eV/cell
formation energy (no corrections): 0.06 eV per atom
symmetry: C2/m, No. 12
total magnetic moment: 0.0 μB/f.u.

---

[6]
The following is a PBE calculation of an optimized crystal structure of CuRhSe4, from the Alexandria database.

a b c (Å): 3.7365 6.7093 9.6516
angles (deg): 88.73 90.00 90.00
Element x y z (fractional)
1 Cu 0.5000 0.5000 0.5000
2 Cu 0.0000 0.0000 0.0000
3 Rh 0.0000 0.0000 0.5000
4 Rh 0.5000 0.5000 0.0000
5 Se 0.5000 0.1939 0.3850
6 Se 0.0000 0.3061 0.1150
7 Se 0.5000 0.8061 0.6150
8 Se 0.0000 0.6939 0.8850
9 Se 0.9994 0.7123 0.3470
10 Se 0.4994 0.7877 0.1530
11 Se 0.0006 0.2877 0.6530
12 Se 0.5006 0.2123 0.8470

Computed properties:
D(E_F): 2.8 states/eV/cell
formation energy (no corrections): -0.22 eV per atom
symmetry: C2/m, No. 12
total magnetic moment: 0.0 μB/f.u.

---

[7]
The following is a PBE calculation of an optimized crystal structure of CuRh2Se, from the Alexandria database.

a b c (Å): 4.3694 4.3694 4.3694
angles (deg): 60.00 60.00 60.00
Element x y z (fractional)
1 Cu 0.5000 0.5000 0.5000
2 Rh 0.0000 0.0000 0.0000
3 Rh 0.2500 0.2500 0.2500
4 Se 0.7500 0.7500 0.7500

Computed properties:
D(E_F): 4.7 states/eV/cell
formation energy (no corrections): 0.23 eV per atom
symmetry: F-43m, No. 216
total magnetic moment: 0.0 μB/f.u.

---

[8]
The following is a PBE calculation of an optimized crystal structure of CuRh2Se, from the Alexandria database.

a b c (Å): 2.9772 3.8894 5.1460
angles (deg): 90.00 90.00 90.00
Element x y z (fractional)
1 Cu 0.5000 0.5000 0.7981
2 Rh 0.0000 0.0000 0.9655
3 Rh 0.5000 0.5000 0.2889
4 Se 0.0000 0.0000 0.4475

Computed properties:
D(E_F): 4.4 states/eV/cell
formation energy (no corrections): 0.08 eV per atom
symmetry: Pmm2, No. 25
total magnetic moment: 0.0 μB/f.u.

---

[9]
The following is a PBE calculation of an optimized crystal structure of CuRh2Se, from the Alexandria database.

a b c (Å): 4.4869 4.4869 4.4869
angles (deg): 125.96 126.00 79.92
Element x y z (fractional)
1 Cu 0.2500 0.7500 0.5000
2 Rh 0.0002 0.0002 0.0000
3 Rh 0.4998 0.4998 0.0000
4 Se 0.7500 0.2500 0.5000

Computed properties:
D(E_F): 1.9 states/eV/cell
formation energy (no corrections): 0.06 eV per atom
symmetry: I4/mmm, No. 139
total magnetic moment: 0.0 μB/f.u.

---

[10]
The following is a PBE calculation of an optimized crystal structure of CuRh2Se, from the Alexandria database.

a b c (Å): 8.0246 8.0246 8.0246
angles (deg): 21.21 21.21 21.21
Element x y z (fractional)
1 Cu 0.7500 0.7500 0.7500
2 Rh 0.9978 0.9978 0.9978
3 Rh 0.5022 0.5022 0.5022
4 Se 0.2500 0.2500 0.2500

Computed properties:
D(E_F): 3.2 states/eV/cell
formation energy (no corrections): 0.11 eV per atom
symmetry: R-3m, No. 166
total magnetic moment: 0.0 μB/f.u.

---

[11]
The following is a PBE calculation of an optimized crystal structure of Cu2TcRhSe, from the Alexandria database.

a b c (Å): 4.6533 4.6379 4.6533
angles (deg): 90.00 90.00 90.00
Element x y z (fractional)
1 Cu 0.0000 0.0000 0.5000
2 Cu 0.5000 0.0000 0.0000
3 Rh 0.0000 0.0000 0.0000
4 Tc 0.0000 0.5000 0.0000
5 Se 0.5000 0.5000 0.5000

Computed properties:
D(E_F): 4.3 states/eV/cell
formation energy (no corrections): 1.17 eV per atom
symmetry: P4/mmm, No. 123
total magnetic moment: 2.2 μB/f.u.

---

[12]
The following is a PBE calculation of an optimized crystal structure of YCu2RhSe, from the Alexandria database.

a b c (Å): 4.6320 5.2411 4.6320
angles (deg): 90.00 90.00 90.00
Element x y z (fractional)
1 Y 0.0000 0.5000 0.0000
2 Rh 0.0000 0.0000 0.0000
3 Cu 0.0000 0.0000 0.5000
4 Cu 0.5000 0.0000 0.0000
5 Se 0.5000 0.5000 0.5000

Computed properties:
D(E_F): 2.7 states/eV/cell
formation energy (no corrections): 0.14 eV per atom
symmetry: P4/mmm, No. 123
total magnetic moment: 0.0 μB/f.u.

---

[13]
The following is a PBE calculation of an optimized crystal structure of CuSiRh, from the Alexandria database.

a b c (Å): 4.8461 4.8461 2.9796
angles (deg): 72.10 72.09 35.81
Element x y z (fractional)
1 Cu 0.0137 0.0137 0.9863
2 Rh 0.3162 0.3162 0.6838
3 Si 0.6700 0.6700 0.3300

Computed properties:
D(E_F): 3.0 states/eV/cell
formation energy (no corrections): -0.34 eV per atom
symmetry: I4mm, No. 107
total magnetic moment: 0.0 μB/f.u.

---

[14]
The following is a PBE calculation of an optimized crystal structure of CuSi4Rh, from the Alexandria database.

a b c (Å): 4.9518 4.9518 4.9518
angles (deg): 60.00 60.00 60.00
Element x y z (fractional)
1 Cu 0.7500 0.7500 0.7500
2 Si 0.8753 0.3749 0.3749
3 Si 0.3749 0.3749 0.8753
4 Si 0.3749 0.8753 0.3749
5 Si 0.3749 0.3749 0.3749
6 Rh 0.0000 0.0000 0.0000

Computed properties:
D(E_F): 5.3 states/eV/cell
formation energy (no corrections): 0.40 eV per atom
symmetry: F-43m, No. 216
total magnetic moment: 0.0 μB/f.u.

---

[15]
The following is a PBE calculation of an optimized crystal structure of CuSi2Rh2, from the Alexandria database.

a b c (Å): 7.0044 7.0044 2.7777
angles (deg): 90.00 90.00 90.00
Element x y z (fractional)
1 Si 0.1524 0.6524 0.5000
2 Si 0.6524 0.8476 0.5000
3 Si 0.8476 0.3476 0.5000
4 Si 0.3476 0.1524 0.5000
5 Rh 0.3550 0.8550 0.0000
6 Rh 0.8550 0.6450 0.0000
7 Rh 0.6450 0.1450 0.0000
8 Rh 0.1450 0.3550 0.0000
9 Cu 0.0000 0.0000 0.0000
10 Cu 0.5000 0.5000 0.0000

Computed properties:
D(E_F): 3.0 states/eV/cell
formation energy (no corrections): -0.52 eV per atom
energy above the lowest structure with this stoichiometry: 0.0000 eV per atom
symmetry: P4/mbm, No. 127
total magnetic moment: 0.0 μB/f.u.

---

[16]
The following is a PBE calculation of an optimized crystal structure of CuSiRh3, from the Alexandria database.

a b c (Å): 4.3841 4.3841 4.3841
angles (deg): 90.00 90.00 90.00
Element x y z (fractional)
1 Si 0.0000 0.0000 0.0000
2 Rh 0.0000 0.5000 0.0000
3 Rh 0.0000 0.0000 0.5000
4 Rh 0.5000 0.0000 0.0000
5 Cu 0.5000 0.5000 0.5000

Computed properties:
D(E_F): 7.8 states/eV/cell
formation energy (no corrections): 0.40 eV per atom
energy above the lowest structure with this stoichiometry: 0.0000 eV per atom
symmetry: Pm-3m, No. 221
total magnetic moment: 0.0 μB/f.u.

---

[17]
The following is a PBE calculation of an optimized crystal structure of Cu3SiRh, from the Alexandria database.

a b c (Å): 4.5966 4.5966 4.5966
angles (deg): 90.00 90.00 90.00
Element x y z (fractional)
1 Si 0.5000 0.5000 0.5000
2 Rh 0.0000 0.0000 0.0000
3 Cu 0.0000 0.5000 0.0000
4 Cu 0.0000 0.0000 0.5000
5 Cu 0.5000 0.0000 0.0000

Computed properties:
D(E_F): 4.9 states/eV/cell
formation energy (no corrections): 1.20 eV per atom
energy above the lowest structure with this stoichiometry: 0.5655 eV per atom
symmetry: Pm-3m, No. 221
total magnetic moment: 0.0 μB/f.u.

---

[18]
The following is a PBE calculation of an optimized crystal structure of CuSiRh3, from the Alexandria database.

a b c (Å): 4.4426 4.4426 4.4426
angles (deg): 90.00 90.00 90.00
Element x y z (fractional)
1 Si 0.5000 0.5000 0.5000
2 Rh 0.0000 0.5000 0.0000
3 Rh 0.0000 0.0000 0.5000
4 Rh 0.5000 0.0000 0.0000
5 Cu 0.0000 0.0000 0.0000

Computed properties:
D(E_F): 7.7 states/eV/cell
formation energy (no corrections): 1.15 eV per atom
energy above the lowest structure with this stoichiometry: 0.7508 eV per atom
symmetry: Pm-3m, No. 221
total magnetic moment: 0.0 μB/f.u.

---

[19]
The following is a PBE calculation of an optimized crystal structure of Cu4Si2Rh, from the Alexandria database.

a b c (Å): 4.6323 4.6323 6.6729
angles (deg): 69.69 69.69 90.00
Element x y z (fractional)
1 Si 0.5999 0.5999 0.8001
2 Si 0.4001 0.4001 0.1999
3 Rh 0.0000 0.0000 0.0000
4 Cu 0.7900 0.7900 0.4200
5 Cu 0.2100 0.2100 0.5800
6 Cu 0.0000 0.5000 0.0000
7 Cu 0.5000 0.0000 0.0000

Computed properties:
D(E_F): 3.6 states/eV/cell
formation energy (no corrections): 0.67 eV per atom
symmetry: I4/mmm, No. 139
total magnetic moment: 0.0 μB/f.u.

---

[20]
The following is a PBE calculation of an optimized crystal structure of CuSi2Rh2, from the Alexandria database.

a b c (Å): 3.5904 3.5904 6.2468
angles (deg): 73.30 73.30 90.00
Element x y z (fractional)
1 Si 0.7500 0.2500 0.5000
2 Si 0.2500 0.7500 0.5000
3 Rh 0.3844 0.3844 0.2313
4 Rh 0.6156 0.6156 0.7687
5 Cu 0.0000 0.0000 0.0000

Computed properties:
D(E_F): 0.9 states/eV/cell
formation energy (no corrections): -0.41 eV per atom
energy above the lowest structure with this stoichiometry: 0.1091 eV per atom
symmetry: I4/mmm, No. 139
total magnetic moment: 0.0 μB/f.u.

---

[21]
The following is a PBE calculation of an optimized crystal structure of CuSiRh, from the Alexandria database.

a b c (Å): 3.9893 3.9893 2.8807
angles (deg): 90.00 90.00 120.00
Element x y z (fractional)
1 Cu 0.0000 0.0000 0.9361
2 Rh 0.6667 0.3333 0.4293
3 Si 0.3333 0.6667 0.6346

Computed properties:
D(E_F): 0.8 states/eV/cell
formation energy (no corrections): -0.39 eV per atom
symmetry: P3m1, No. 156
total magnetic moment: 0.0 μB/f.u.

---

[22]
The following is a PBE calculation of an optimized crystal structure of Cu3SiRh, from the Alexandria database.

a b c (Å): 4.2729 4.2729 4.2729
angles (deg): 90.00 90.00 90.00
Element x y z (fractional)
1 Si 0.0000 0.0000 0.0000
2 Rh 0.5000 0.5000 0.5000
3 Cu 0.0000 0.5000 0.0000
4 Cu 0.0000 0.0000 0.5000
5 Cu 0.5000 0.0000 0.0000

Computed properties:
D(E_F): 2.1 states/eV/cell
formation energy (no corrections): 0.64 eV per atom
energy above the lowest structure with this stoichiometry: 0.0000 eV per atom
symmetry: Pm-3m, No. 221
total magnetic moment: 0.0 μB/f.u.

---

[23]
The following is a PBE calculation of an optimized crystal structure of CuSiRh, from the Alexandria database.

a b c (Å): 3.9307 3.9307 3.9307
angles (deg): 60.00 60.00 60.00
Element x y z (fractional)
1 Cu 0.0000 0.0000 0.0000
2 Rh 0.5000 0.5000 0.5000
3 Si 0.7500 0.7500 0.7500

Computed properties:
D(E_F): 0.8 states/eV/cell
formation energy (no corrections): -0.41 eV per atom
symmetry: F-43m, No. 216
total magnetic moment: 0.0 μB/f.u.

---

[24]
The following is a PBE calculation of an optimized crystal structure of Sm3CuSi6Rh2, from the Alexandria database.

a b c (Å): 5.3589 5.3589 9.0940
angles (deg): 90.00 90.00 120.00
Element x y z (fractional)
1 Sm 0.3333 0.6667 0.5818
2 Sm 0.6667 0.3333 0.4182
3 Sm 0.0000 0.0000 0.0000
4 Cu 0.0000 0.0000 0.5000
5 Si 0.6672 0.8336 0.2782
6 Si 0.1664 0.3328 0.2782
7 Si 0.1664 0.8336 0.2782
8 Si 0.8336 0.6672 0.7218
9 Si 0.3328 0.1664 0.7218
10 Si 0.8336 0.1664 0.7218
11 Rh 0.6667 0.3333 0.9222
12 Rh 0.3333 0.6667 0.0778

Computed properties:
D(E_F): 3.1 states/eV/cell
formation energy (no corrections): -0.43 eV per atom
symmetry: P-3m1, No. 164
total magnetic moment: 0.0 μB/f.u.

---

[25]
The following is a PBE calculation of an optimized crystal structure of SmCuSi2Rh, from the Alexandria database.

a b c (Å): 4.0944 4.0944 5.7645
angles (deg): 110.80 110.80 90.00
Element x y z (fractional)
1 Sm 0.0000 0.0000 0.0000
2 Cu 0.2500 0.7500 0.5000
3 Si 0.6209 0.6209 0.2417
4 Si 0.3791 0.3791 0.7583
5 Rh 0.7500 0.2500 0.5000

Computed properties:
D(E_F): 2.8 states/eV/cell
formation energy (no corrections): -0.80 eV per atom
symmetry: I-4m2, No. 119
total magnetic moment: 0.0 μB/f.u.

---

[26]
The following is a PBE calculation of an optimized crystal structure of Sm2CuSi4Rh3, from the Alexandria database.

a b c (Å): 4.1664 4.1664 9.8297
angles (deg): 90.00 90.00 90.00
Element x y z (fractional)
1 Sm 0.5000 0.0000 0.2462
2 Sm 0.0000 0.5000 0.7538
3 Cu 0.5000 0.5000 0.5000
4 Si 0.5000 0.5000 0.0000
5 Si 0.0000 0.0000 0.0000
6 Si 0.5000 0.0000 0.6305
7 Si 0.0000 0.5000 0.3695
8 Rh 0.0000 0.0000 0.5000
9 Rh 0.5000 0.0000 0.8746
10 Rh 0.0000 0.5000 0.1254

Computed properties:
D(E_F): 6.5 states/eV/cell
formation energy (no corrections): -0.90 eV per atom
symmetry: P-4m2, No. 115
total magnetic moment: 0.0 μB/f.u.

---

[27]
The following is a PBE calculation of an optimized crystal structure of Tb2CuSi2Rh5, from the Alexandria database.

a b c (Å): 3.4196 9.7546 9.7546
angles (deg): 90.00 90.00 90.00
Element x y z (fractional)
1 Tb 0.0000 0.6737 0.1737
2 Tb 0.0000 0.3263 0.8263
3 Tb 0.0000 0.1737 0.3263
4 Tb 0.0000 0.8263 0.6737
5 Cu 0.0000 0.0000 0.0000
6 Cu 0.0000 0.5000 0.5000
7 Si 0.0000 0.1265 0.6265
8 Si 0.0000 0.8735 0.3735
9 Si 0.0000 0.6265 0.8735
10 Si 0.0000 0.3735 0.1265
11 Rh 0.5000 0.2096 0.0671
12 Rh 0.5000 0.7904 0.9329
13 Rh 0.5000 0.0671 0.7904
14 Rh 0.5000 0.7096 0.4329
15 Rh 0.5000 0.9329 0.2096
16 Rh 0.5000 0.2904 0.5671
17 Rh 0.5000 0.5671 0.7096
18 Rh 0.5000 0.4329 0.2904
19 Rh 0.5000 0.5000 0.0000
20 Rh 0.5000 0.0000 0.5000

Computed properties:
D(E_F): 8.4 states/eV/cell
formation energy (no corrections): -0.82 eV per atom
symmetry: P4/mbm, No. 127
total magnetic moment: 0.0 μB/f.u.